A geometry-optimized Ba2Sn3Au4 structure. Source: Alexandria via LeMat-Bulk, functional PBE.

a b c (Å): 6.823 17.022 8.271
angles (deg): 90.00 90.00 90.00
Space group Cmce (No. 64)
Unique sites:
Ba: 0.000 0.108 0.087 [8 per cell]
Sn: 0.000 0.000 0.500 [4 per cell]
Sn: 0.250 0.225 0.750 [8 per cell]
Au: 0.000 0.183 0.473 [8 per cell]
Au: 0.250 0.055 0.750 [8 per cell]

Calculated values
* ΔE_f: -0.527 eV/atom

A geometry-optimized Dy2Ag2Pd3 structure. Source: Alexandria via LeMat-Bulk, functional PBE.

a b c (Å): 4.298 5.268 7.094
angles (deg): 74.58 89.87 65.96
Space group P-1 (No. 2)
Unique sites:
Dy: 0.125 0.251 0.285 [2 per cell]
Ag: 0.377 0.749 0.068 [2 per cell]
Pd: 0.169 0.161 0.699 [2 per cell]
Pd: 0.500 0.500 0.500 [1 per cell]

Calculated values
* ΔE_f: -0.619 eV/atom

| no. | VASP energy (eV per atom) |
| --- | --- |
| 1 | -3.745 |
| 2 | -4.974 |